Density functional theory data (GGA-PBE) for an optimized crystal structure of BaSrH.

Total magnetization: 1.738 Bohr magnetons per cell
DOS at the Fermi energy: 5.03 states/eV per cell
Calculated volume: 221.8 Å³ per cell
Energy above the most stable polymorph in this dataset: 148 meV/atom

Cell and atoms, written as CIF:
```
data_BaSrH
_space_group_name_H-M_alt 'I 4 m m'
_space_group_IT_number 107
_space_group_name_Hall 'I 4 -2'
_cell_length_a 3.9260
_cell_length_b 3.9260
_cell_length_c 14.3915
_cell_angle_alpha 90.00
_cell_angle_beta 90.00
_cell_angle_gamma 90.00
loop_
_atom_site_label
_atom_site_fract_x
_atom_site_fract_y
_atom_site_fract_z
Ba1 0.0000 0.0000 0.0000
Sr1 0.0000 0.0000 0.2802
H1 0.0000 0.0000 0.4632
```